1.
Entry from Alexandria: an optimized crystal structure of Zr2MnBe9 (GGA-PBE).

Lattice parameters (Å, degrees): 4.5623 4.5623 7.6801 72.72 72.72 60.00
Element x y z (fractional)
Be 0.4242 0.9223 0.2294
Be 0.0777 0.5758 0.7706
Be 0.3339 0.3339 0.9982
Be 0.5000 0.5000 0.5000
Be 0.4242 0.4242 0.2294
Be 0.9223 0.4242 0.2294
Mn 0.0000 0.0000 0.0000
Zr 0.1391 0.1391 0.5826
Be 0.5758 0.5758 0.7706
Be 0.5758 0.0777 0.7706
Zr 0.8609 0.8609 0.4174
Be 0.6661 0.6661 0.0018

Properties
As for the energy relative to the elements: -19.4 meV per atom. Its total moment is 0.07 μB/atom.


2.
Entry from Alexandria: an optimized crystal structure of Zr2Mn2Be15 (GGA-PBE).

Lattice parameters (Å, degrees): 5.7339 5.7339 5.7339 83.94 83.94 83.94
Element x y z (fractional)
Zr 0.6564 0.6564 0.6564
Be 0.6586 0.1521 0.6586
Be 0.1521 0.6586 0.6586
Be 0.2839 0.7161 0.0000
Be 0.3414 0.3414 0.8479
Be 0.8479 0.3414 0.3414
Be 0.5000 0.0000 0.0000
Mn 0.0965 0.0965 0.0965
Be 0.2839 0.0000 0.7161
Be 0.3414 0.8479 0.3414
Zr 0.3436 0.3436 0.3436
Be 0.6586 0.6586 0.1521
Be 0.0000 0.5000 0.0000
Be 0.0000 0.7161 0.2839
Be 0.7161 0.0000 0.2839
Mn 0.9035 0.9035 0.9035
Be 0.0000 0.0000 0.5000
Be 0.0000 0.2839 0.7161
Be 0.7161 0.2839 0.0000

Properties
As for the energy relative to the elements: -234.6 meV per atom. Its total moment is 0.00 μB/atom.


3.
Entry from Alexandria: an optimized crystal structure of ZrMn4Be (GGA-PBE).

Lattice parameters (Å, degrees): 4.7547 4.7547 4.7547 60.00 60.00 60.00
Element x y z (fractional)
Be 0.0000 0.0000 0.0000
Mn 0.6265 0.1205 0.6265
Mn 0.6265 0.6265 0.6265
Mn 0.6265 0.6265 0.1205
Zr 0.2500 0.2500 0.2500
Mn 0.1205 0.6265 0.6265

Properties
As for the energy relative to the elements: 39.1 meV per atom. Its total moment is 0.00 μB/atom.


4.
Entry from Alexandria: an optimized crystal structure of ZrMn2Be2 (GGA-PBE).

Lattice parameters (Å, degrees): 6.8453 6.8453 2.6572 90.00 90.00 90.00
Element x y z (fractional)
Mn 0.3741 0.8741 0.0000
Zr 0.0000 0.0000 0.0000
Be 0.3322 0.1678 0.5000
Be 0.8322 0.3322 0.5000
Zr 0.5000 0.5000 0.0000
Mn 0.1259 0.3741 0.0000
Be 0.6678 0.8322 0.5000
Be 0.1678 0.6678 0.5000
Mn 0.8741 0.6259 0.0000
Mn 0.6259 0.1259 0.0000

Properties
As for the energy relative to the elements: 68.1 meV per atom. Its total moment is 0.74 μB/atom.